Entry from the Alexandria database: an optimized crystal structure of Fe2ReI (PBE).

## Properties
* energy relative to the elements, uncorrected: 1.17 eV/atom
* space group: No. 122
* V: 20.77 Å³/atom

Cell lengths 5.714, 5.714, 6.498 Å; angles 63.92, 63.92, 90.00 degrees
Each line ends with the local moment (μB).
Fractional coordinates of all 8 atoms:
1 I 0.500 0.500 0.000  0.02
2 I 0.250 0.750 0.500  0.02
3 Re 0.000 0.000 0.000  -0.25
4 Re 0.750 0.250 0.500  -0.25
5 Fe 0.658 0.125 0.250  0.93
6 Fe 0.092 0.625 0.250  0.91
7 Fe 0.375 0.342 0.750  0.89
8 Fe 0.875 0.908 0.750  0.97